First-principles (PBE) data for a geometry-optimized RbHgGe structure, as listed in Alexandria via LeMat-Bulk.

a = 4.047 Å, b = 6.652 Å, c = 8.066 Å
α = 96.02°, β = 104.50°, γ = 90.04°
Space group P1 (No. 1)
Inequivalent atoms, fractional coordinates:
Rb 0.000 0.000 0.000 x1
Rb 0.238 0.732 0.472 x1
Hg 0.547 0.535 0.092 x1
Hg 0.691 0.197 0.380 x1
Ge 0.345 0.264 0.686 x1
Ge 0.896 0.469 0.787 x1

Output
**E above lowest polymorph**: 19 meV/atom
**Volume**: 34.83 Å³ per atom
**Calculated formation energy**: -0.1183 eV per atom
**Final energy**: -2.081 eV per atom